Material: Y3PbO
Method: DFT, PBE
State: relaxed

```
Y3PbO
1.0
3.662 0.000 0.539
0.000 6.805 0.000
-1.538 0.000 10.442
Pb Y O
2 6 2
Cartesian
0.384 5.104 3.741 Pb
1.740 1.701 7.240 Pb
1.821 5.104 6.689 Y
0.303 1.701 4.292 Y
-0.401 0.001 9.073 Y
2.525 6.804 1.908 Y
-0.401 3.401 9.073 Y
2.525 3.404 1.908 Y
2.319 1.701 3.306 O
-0.195 5.104 7.675 O
```

Results
Its space-group type is Pmmn, No. 59. The value obtained for the uncorrected formation energy is -1337 meV per atom. Its volume is 265.9 Å³ per cell.